[1]
Below is crystalline TaNb4Mo2 at its relaxed geometry, with properties calculated at the GGA-PBE level.

a b c (Å): 4.655 4.655 7.559
angles (deg): 72.06 72.06 60.00
Fractional coordinates of all 7 atoms:
Nb  0.616  0.616  0.153
Nb  0.752  0.752  0.745
Mo  0.125  0.125  0.626
Ta  0.000  0.000  0.000
Nb  0.248  0.248  0.255
Mo  0.875  0.875  0.374
Nb  0.384  0.384  0.847

## Properties
- Crystal system: trigonal
- DOS at the Fermi energy: 8.9 states/eV/cell
- E_form: 0.401 eV/atom
- Energy above the most stable polymorph in this dataset: 0 meV per atom
- Spin magnetization: 0.0 Bohr magnetons per cell
- Space-group type: No. 166

[2]
Below is crystalline AsPtSe3 at its relaxed geometry, with properties calculated at the GGA-PBE level.

a b c (Å): 4.937 4.937 4.937
angles (deg): 90.00 90.00 90.00
Fractional coordinates of all 5 atoms:
Se  0.500  0.000  0.000
Se  0.000  0.000  0.500
As  0.500  0.500  0.500
Pt  0.000  0.000  0.000
Se  0.000  0.500  0.000

## Properties
- Crystal system: cubic
- DOS at the Fermi energy: 5.7 states/eV/cell
- Energy above the most stable polymorph in this dataset: 0 meV per atom
- Spin magnetization: 0.0 Bohr magnetons per cell
- Formation energy without anion corrections: 606 meV per atom
- Space-group type: No. 221

[3]
Below is crystalline SnTeIr at its relaxed geometry, with properties calculated at the GGA-PBE level.

a b c (Å): 6.676 6.869 6.730
angles (deg): 115.62 90.00 90.00
Fractional coordinates of all 12 atoms:
Ir  0.004  0.212  0.235
Te  0.872  0.376  0.655
Te  0.128  0.624  0.345
Sn  0.348  0.668  0.848
Sn  0.848  0.832  0.152
Ir  0.504  0.288  0.765
Te  0.372  0.124  0.345
Te  0.628  0.876  0.655
Sn  0.152  0.168  0.848
Ir  0.496  0.712  0.235
Ir  0.996  0.788  0.765
Sn  0.652  0.332  0.152

## Properties
- Crystal system: monoclinic
- Spin magnetization: 0.0 Bohr magnetons per cell
- Formation energy without anion corrections: -354 meV per atom
- Space-group type: No. 14

[4]
Below is crystalline La3YZr at its relaxed geometry, with properties calculated at the GGA-PBE level.

a b c (Å): 5.735 5.735 5.735
angles (deg): 90.00 90.00 90.00
Fractional coordinates of all 5 atoms:
La  0.000  0.000  0.500
La  0.000  0.500  0.000
Y  0.000  0.000  0.000
La  0.500  0.000  0.000
Zr  0.500  0.500  0.500

## Properties
- Crystal system: cubic
- DOS at the Fermi energy: 11.7 states/eV/cell
- E_form: 1.026 eV/atom
- Energy above the most stable polymorph in this dataset: 527 meV per atom
- Spin magnetization: 0.0 Bohr magnetons per cell
- Space-group type: No. 221

For each record above, in turn, the calculated calculated density values are 9.3; 7.0; 10.5; 5.3 g/cm3.